Entry from Alexandria: a relaxed structure of Y3Er4Tm4 (PBE).

abc: 3.497 5.532 17.902
angles: 81.07 84.38 90.00
Fractional coordinates of all 11 atoms:
Tm1 0.319 0.819 0.362
Tm2 0.454 0.454 0.091
Er1 0.590 0.091 0.819
Er2 0.267 0.266 0.467
Y1 0.863 0.363 0.274
Y2 0.000 0.000 0.000
Tm3 0.681 0.181 0.638
Y3 0.137 0.637 0.726
Tm4 0.546 0.546 0.909
Er3 0.410 0.909 0.181
Er4 0.733 0.734 0.533

ΔE_f = 0.06 eV/atom
Uncorrected energy = -54.860 eV/cell
Energy above the most stable polymorph in this dataset = 0 meV per atom
Mass density = 7.9 g cm⁻³


Entry from Alexandria: a relaxed structure of LiCa2HoTe4 (PBE).

abc: 4.439 7.638 7.636
angles: 108.83 90.00 90.00
Fractional coordinates of all 8 atoms:
Ho1 0.000 0.000 0.000
Te1 0.000 0.748 0.239
Ca1 0.000 0.500 0.500
Te2 0.500 0.752 0.763
Li1 0.500 0.500 0.000
Te3 0.500 0.248 0.237
Ca2 0.500 0.000 0.500
Te4 0.000 0.252 0.761

Raw formation energy = -1439 meV per atom
Uncorrected energy = -34.574 eV/cell
Mass density = 5.2 g cm⁻³


Entry from Alexandria: a relaxed structure of AlCdW2 (PBE).

abc: 5.495 5.311 2.758
angles: 82.33 75.88 117.00
Fractional coordinates of all 4 atoms:
W1 0.000 0.000 0.000
Cd1 0.500 0.500 0.000
W2 0.500 0.000 0.500
Al1 0.000 0.500 0.500

ΔE_f = 0.39 eV/atom
Uncorrected energy = -29.019 eV/cell
Energy above the most stable polymorph in this dataset = 136 meV per atom
Mass density = 12.6 g cm⁻³


Entry from Alexandria: a relaxed structure of AcTbEr (PBE).

abc: 3.574 5.849 5.849
angles: 120.00 90.00 90.00
Fractional coordinates of all 3 atoms:
Ac1 0.168 0.000 0.000
Tb1 0.667 0.667 0.333
Er1 0.166 0.333 0.667

ΔE_f = 0.15 eV/atom
Uncorrected energy = -12.866 eV/cell
Energy above the most stable polymorph in this dataset = 82 meV per atom
Mass density = 8.7 g cm⁻³


Entry from Alexandria: a relaxed structure of CaPr2PbO6 (PBE).

abc: 5.989 5.989 6.179
angles: 61.01 61.01 60.00
Fractional coordinates of all 10 atoms:
Pb1 0.313 0.313 0.060
O1 0.684 0.121 0.766
Pr1 0.032 0.032 0.904
Ca1 0.808 0.808 0.577
O2 0.121 0.429 0.766
O3 0.193 0.951 0.258
Pr2 0.532 0.532 0.405
O4 0.429 0.684 0.766
O5 0.598 0.193 0.258
O6 0.951 0.598 0.258

Raw formation energy = -2519 meV per atom
Uncorrected energy = -70.205 eV/cell
Mass density = 6.5 g cm⁻³


Entry from Alexandria: a relaxed structure of K2CdIn5Ag2 (PBE).

abc: 4.508 11.049 11.049
angles: 90.00 90.00 90.00
Fractional coordinates of all 20 atoms:
Cd1 0.000 0.500 0.500
In1 0.500 0.500 0.000
Ag1 0.000 0.385 0.115
Ag2 0.000 0.115 0.615
K1 0.000 0.819 0.681
In2 0.500 0.058 0.799
K2 0.000 0.319 0.819
In3 0.500 0.558 0.701
Ag3 0.000 0.615 0.885
In4 0.500 0.299 0.558
K3 0.000 0.681 0.181
In5 0.500 0.000 0.500
In6 0.500 0.201 0.058
In7 0.500 0.701 0.442
In8 0.500 0.799 0.942
K4 0.000 0.181 0.319
Cd2 0.000 0.000 0.000
Ag4 0.000 0.885 0.385
In9 0.500 0.442 0.299
In10 0.500 0.942 0.201

ΔE_f = -0.04 eV/atom
Uncorrected energy = -45.779 eV/cell
Mass density = 5.9 g cm⁻³


Entry from Alexandria: a relaxed structure of Hf8Ir2N (PBE).

abc: 4.953 5.889 7.848
angles: 105.61 108.40 90.00
Fractional coordinates of all 11 atoms:
Hf1 0.796 0.712 0.591
Ir1 0.194 0.723 0.388
Hf2 0.364 0.056 0.728
N1 0.500 0.000 0.000
Hf3 0.417 0.599 0.834
Hf4 0.583 0.401 0.166
Hf5 0.018 0.761 0.035
Hf6 0.982 0.239 0.965
Hf7 0.204 0.288 0.409
Hf8 0.636 0.944 0.272
Ir2 0.806 0.277 0.612

Raw formation energy = -424 meV per atom
Uncorrected energy = -110.340 eV/cell
Mass density = 14.6 g cm⁻³


Entry from Alexandria: a relaxed structure of LaFeAs (PBE).

abc: 4.486 4.486 4.486
angles: 60.00 60.00 60.00
Each line ends with the local moment (μB).
Fractional coordinates of all 3 atoms:
La1 0.000 0.000 0.000  0.01
As1 0.500 0.500 0.500  0.03
Fe1 0.750 0.750 0.750  1.91

ΔE_f = -0.40 eV/atom
Uncorrected energy = -19.250 eV/cell
Mass density = 7.0 g cm⁻³


Entry from Alexandria: a relaxed structure of HfVMoRu (PBE).

abc: 4.468 4.468 4.468
angles: 60.00 60.00 60.00
Fractional coordinates of all 4 atoms:
Mo1 0.250 0.250 0.250
Ru1 0.750 0.750 0.750
V1 0.000 0.000 0.000
Hf1 0.500 0.500 0.500

ΔE_f = -0.28 eV/atom
Uncorrected energy = -40.282 eV/cell
Mass density = 11.2 g cm⁻³


Entry from Alexandria: a relaxed structure of BeCdW2 (PBE).

abc: 2.752 2.752 8.646
angles: 90.00 90.00 107.93
Fractional coordinates of all 4 atoms:
Cd1 0.500 0.500 0.727
W1 0.500 0.500 0.272
Be1 0.000 0.000 0.483
W2 0.000 0.000 0.017

ΔE_f = 0.35 eV/atom
Uncorrected energy = -29.143 eV/cell
Energy above the most stable polymorph in this dataset = 0 meV per atom
Mass density = 13.0 g cm⁻³


Entry from Alexandria: a relaxed structure of PmBi2F8 (PBE).

abc: 3.926 5.429 8.236
angles: 104.61 103.79 90.00
Fractional coordinates of all 11 atoms:
F1 0.639 0.920 0.278
Bi1 0.169 0.669 0.338
F2 0.768 0.678 0.536
F3 0.361 0.080 0.722
F4 0.402 0.590 0.803
F5 0.598 0.410 0.197
F6 0.972 0.206 0.944
Bi2 0.831 0.331 0.662
F7 0.232 0.322 0.464
Pm1 0.500 0.000 0.000
F8 0.028 0.794 0.056

Raw formation energy = -2827 meV per atom
Uncorrected energy = -58.577 eV/cell
Energy above the most stable polymorph in this dataset = 0 meV per atom
Mass density = 7.2 g cm⁻³


Entry from Alexandria: a relaxed structure of AgBr3 (PBE).

abc: 8.769 8.769 8.769
angles: 153.67 153.54 37.67
Fractional coordinates of all 4 atoms:
Ag1 0.500 0.000 0.500
Br1 0.000 0.500 0.500
Br2 0.750 0.750 0.000
Br3 0.250 0.250 0.000

Raw formation energy = 1 meV per atom
Uncorrected energy = -7.865 eV/cell
Mass density = 4.3 g cm⁻³


Look up the mass density of the tenth one.
13.0 g cm⁻³